Compound: BaCu4Hg
Source: Alexandria via LeMat-Bulk
Functional: PBE-GGA
Structure: optimized geometry

CIF file:
```
data_BaCu4Hg
_symmetry_space_group_name_H-M 'F -4 3 m'
_symmetry_Int_Tables_number 216
_symmetry_space_group_name_Hall 'F -4 2 3'
_cell_length_a 7.6118
_cell_length_b 7.6118
_cell_length_c 7.6118
_cell_angle_alpha 90.00
_cell_angle_beta 90.00
_cell_angle_gamma 90.00
loop_
_atom_site_label
_atom_site_fract_x
_atom_site_fract_y
_atom_site_fract_z
Ba1 0.0000 0.0000 0.0000
Cu1 0.1219 0.1219 0.6219
Hg1 0.2500 0.2500 0.2500
```

Raw total energy ... -72.8 eV/cell
DOS(E_F) ... 20.8 states/eV/cell